The following is a PBE with a Hubbard U calculation of a relaxed Mn2InPbO8 crystal, from the Alexandria database.

```
12
Lattice="5.4221 0.0000 0.0000 -2.7110 4.6957 0.0000 0.0000 0.0000 7.1901" Properties=species:S:1:pos:R:3 pbc="T T T"
Mn 0.0000 3.1304 1.9097
Mn 2.7110 1.5652 5.2804
In 0.0000 0.0000 0.0000
Pb 0.0000 0.0000 3.5951
O -0.4524 1.5510 1.4384
O -1.1417 4.3120 1.4384
O 1.1170 1.1673 5.7518
O 0.0000 3.1304 3.5629
O 2.7110 1.5652 3.6272
O 1.5941 3.5284 1.4384
O 3.8527 0.3837 5.7518
O 3.1634 3.1447 5.7518
```

D(E_F) ... 6.2 states/eV/cell
E ... -6.0132 eV per atom